This record from the Alexandria database describes ZrTa2ReCl after structural relaxation. The functional is PBE-GGA.

crystal system	tetragonal
SG	P4/mmm, No. 123
E_form (uncorrected)	810	meV per atom
final energy	-42.5	eV per formula unit

a = 4.5293 Å, b = 4.5282 Å, c = 4.5293 Å
α = 90.00°, β = 90.00°, γ = 90.00°
Last column: nearest neighbours and their distance in Å.
Fractional positions:
1 Re 0.0000 0.5000 0.0000  2 Cl 2.26
2 Cl 0.0000 0.0000 0.0000  2 Re 2.26, 4 Ta 2.26
3 Zr 0.5000 0.5000 0.5000  8 Ta 3.20, 4 Re 3.20
4 Ta 0.0000 0.0000 0.5000  2 Cl 2.26
5 Ta 0.5000 0.0000 0.0000  2 Cl 2.26

This record from the Alexandria database describes Tb2ReCl after structural relaxation. The functional is PBE-GGA.

crystal system	trigonal
SG	R-3m, No. 166
E_form (uncorrected)	128	meV per atom
final energy	-23.0	eV per formula unit

a = 3.1552 Å, b = 3.1552 Å, c = 10.2947 Å
α = 81.19°, β = 81.19°, γ = 60.00°
Last column: nearest neighbours and their distance in Å.
Fractional positions:
1 Re 0.0000 0.0000 0.0000  2 Tb 2.76
2 Tb 0.0909 0.0909 0.7272  1 Re 2.76, 3 Cl 2.94
3 Tb 0.9091 0.9091 0.2728  1 Re 2.76, 3 Cl 2.94
4 Cl 0.5000 0.5000 0.5000  6 Tb 2.94, 6 Cl 3.16

This record from the Alexandria database describes TbReCl after structural relaxation. The functional is PBE-GGA.

crystal system	triclinic
SG	P1, No. 1
E_form (uncorrected)	-666	meV per atom
final energy	-20.9	eV per formula unit

a = 4.3167 Å, b = 6.0166 Å, c = 12.1539 Å
α = 140.46°, β = 117.10°, γ = 44.46°
Last column: nearest neighbours and their distance in Å.
Fractional positions:
1 Re 0.7005 0.7314 0.1354  2 Re 2.43, 1 Cl 2.59
2 Re 0.1336 0.5247 0.2946  2 Re 2.43, 1 Cl 2.58
3 Tb 0.0741 0.2526 0.4224  3 Cl 2.95-3.04, 6 Re 2.99-3.20
4 Tb 0.7806 0.0012 0.0115  3 Cl 2.85-3.06, 5 Re 3.01-3.17
5 Cl 0.7793 0.2979 0.6230  1 Re 2.58
6 Cl 0.6697 0.1447 0.8129  1 Re 2.59, 2 Tb 2.85-2.89

This record from the Alexandria database describes ReTc2Cl after structural relaxation. The functional is PBE-GGA.

crystal system	trigonal
SG	R-3m, No. 166
E_form (uncorrected)	248	meV per atom
final energy	-34.0	eV per formula unit

a = 8.6296 Å, b = 8.6296 Å, c = 8.6296 Å
α = 18.98°, β = 18.98°, γ = 18.98°
Last column: nearest neighbours and their distance in Å.
Fractional positions:
1 Cl 0.2500 0.2500 0.2500  6 Tc 2.66, 6 Cl 2.85
2 Re 0.7500 0.7500 0.7500  6 Tc 2.70, 6 Re 2.85
3 Tc 0.9989 0.9989 0.9989  3 Cl 2.66, 3 Re 2.70, 6 Tc 2.85
4 Tc 0.5011 0.5011 0.5011  3 Cl 2.66, 3 Re 2.70, 6 Tc 2.85

This record from the Alexandria database describes ReTcCl3 after structural relaxation. The functional is PBE-GGA.

crystal system	cubic
SG	Pm-3m, No. 221
E_form (uncorrected)	1064	meV per atom
final energy	-23.0	eV per formula unit

a = 4.8520 Å, b = 4.8520 Å, c = 4.8520 Å
α = 90.00°, β = 90.00°, γ = 90.00°
Last column: nearest neighbours and their distance in Å.
Fractional positions:
1 Re 0.0000 0.0000 0.0000  6 Cl 2.43
2 Tc 0.5000 0.5000 0.5000  12 Cl 3.43
3 Cl 0.0000 0.5000 0.0000  2 Re 2.43
4 Cl 0.0000 0.0000 0.5000  2 Re 2.43
5 Cl 0.5000 0.0000 0.0000  2 Re 2.43

This record from the Alexandria database describes ReTc2Cl after structural relaxation. The functional is PBE-GGA.

crystal system	monoclinic
SG	Cm, No. 8
E_form (uncorrected)	579	meV per atom
final energy	-32.7	eV per formula unit

a = 5.1553 Å, b = 5.1553 Å, c = 4.3166 Å
α = 89.13°, β = 89.13°, γ = 32.81°
Last column: nearest neighbours and their distance in Å.
Fractional positions:
1 Cl 0.4987 0.4987 0.5320  3 Tc 2.38-2.41, 1 Re 2.45
2 Re 0.2922 0.2922 0.2242  1 Cl 2.45, 4 Tc 2.54-2.69
3 Tc 0.9930 0.9930 0.9675  2 Cl 2.38
4 Tc 0.7162 0.7162 0.7763  1 Cl 2.41, 2 Re 2.54